Entry from Alexandria: KFe2Rh at its PBEsol-relaxed geometry (SCAN).

**DFT total energy**: -76.486 eV per cell
**Energy relative to the elements**: 1.87 eV/f.u.

Cell: 2.895 2.895 8.102 Å, 90.00 90.00 90.00°
Space group P4mm (No. 99)
One atom of each set of equivalent atoms:
K  0.000  0.000  0.000 [1 per cell]
Fe  0.000  0.000  0.494 [1 per cell]
Fe  0.500  0.500  0.650 [1 per cell]
Rh  0.500  0.500  0.316 [1 per cell]



Entry from Alexandria: Mn3O2F4 at its PBEsol-relaxed geometry (SCAN).

**DFT total energy**: -208.985 eV per cell
**ΔE_f (raw)**: -2.567 eV per atom

Cell: 4.624 5.666 7.794 Å, 87.22 88.22 87.93°
Space group P1 (No. 1)
One atom of each set of equivalent atoms:
Mn  0.000  0.000  0.000 [1 per cell]
Mn  0.003  0.691  0.368 [1 per cell]
Mn  0.454  0.546  0.045 [1 per cell]
Mn  0.502  0.182  0.353 [1 per cell]
Mn  0.528  0.864  0.694 [1 per cell]
Mn  0.983  0.342  0.701 [1 per cell]
O  0.299  0.475  0.267 [1 per cell]
O  0.310  0.827  0.913 [1 per cell]
O  0.698  0.899  0.461 [1 per cell]
O  0.813  0.052  0.791 [1 per cell]
F  0.189  0.976  0.236 [1 per cell]
F  0.202  0.329  0.932 [1 per cell]
F  0.203  0.647  0.605 [1 per cell]
F  0.288  0.160  0.581 [1 per cell]
F  0.693  0.540  0.817 [1 per cell]
F  0.705  0.202  0.119 [1 per cell]
F  0.790  0.403  0.465 [1 per cell]
F  0.794  0.706  0.132 [1 per cell]



Entry from Alexandria: ScTaH3 at its PBEsol-relaxed geometry (SCAN).

**DFT total energy**: -89.865 eV per cell

Cell: 3.546 3.546 3.546 Å, 90.00 90.00 90.00°
Space group Pm-3m (No. 221)
One atom of each set of equivalent atoms:
Sc  0.000  0.000  0.000 [1 per cell]
Ta  0.500  0.500  0.500 [1 per cell]
H  0.000  0.000  0.500 [3 per cell]



Entry from Alexandria: LaZrTa3O11 at its PBEsol-relaxed geometry (SCAN).

**DFT total energy**: -1584.816 eV per cell
**ΔE_f (raw)**: -3.382 eV per atom

Cell: 6.253 10.841 12.505 Å, 90.00 90.17 90.00°
Space group C2 (No. 5)
One atom of each set of equivalent atoms:
La  0.000  0.000  0.000 [2 per cell]
La  0.000  0.334  0.500 [2 per cell]
Zr  0.178  0.848  0.249 [4 per cell]
Ta  0.000  0.333  0.000 [2 per cell]
Ta  0.000  0.996  0.500 [2 per cell]
Ta  0.133  0.168  0.252 [4 per cell]
Ta  0.181  0.487  0.249 [4 per cell]
O  0.001  0.335  0.293 [4 per cell]
O  0.003  0.003  0.793 [4 per cell]
O  0.091  0.197  0.095 [4 per cell]
O  0.095  0.138  0.406 [4 per cell]
O  0.123  0.548  0.750 [4 per cell]
O  0.141  0.795  0.751 [4 per cell]
O  0.153  0.454  0.095 [4 per cell]
O  0.160  0.881  0.413 [4 per cell]
O  0.239  0.855  0.085 [4 per cell]
O  0.242  0.162  0.749 [4 per cell]
O  0.244  0.481  0.405 [4 per cell]



Entry from Alexandria: LiZn2Cd at its PBEsol-relaxed geometry (SCAN).

**DFT total energy**: -60.223 eV per cell
**Energy relative to the elements**: -0.39 eV/f.u.

Cell: 3.201 3.201 6.049 Å, 90.00 90.00 90.00°
Space group P4/mmm (No. 123)
One atom of each set of equivalent atoms:
Li  0.000  0.000  0.000 [1 per cell]
Zn  0.500  0.500  0.218 [2 per cell]
Cd  0.000  0.000  0.500 [1 per cell]



Entry from Alexandria: Cd2Rh at its PBEsol-relaxed geometry (SCAN).

**DFT total energy**: -284.544 eV per cell
**Energy relative to the elements**: -0.25 eV/f.u.

Cell: 7.7151 7.7151 3.0210 Å, 90.00 90.00 120.00°
Space group P-62m (No. 189)
One atom of each set of equivalent atoms:
Cd  0.0000  0.2924  0.0000 [3 per cell]
Cd  0.0000  0.6220  0.5000 [3 per cell]
Rh  0.0000  0.0000  0.5000 [1 per cell]
Rh  0.3333  0.6667  0.0000 [2 per cell]



Entry from Alexandria: ZrTe2Ir at its PBEsol-relaxed geometry (SCAN).

**DFT total energy**: -529.433 eV per cell
**ΔE_f (raw)**: -0.044 eV per atom

Cell: 3.8767 3.8767 20.5832 Å, 90.00 90.00 120.00°
Space group R-3m (No. 166, hexagonal axes)
One atom of each set of equivalent atoms:
Zr  0.0000  0.0000  0.0000 [3 per cell]
Te  0.0000  0.0000  0.2387 [6 per cell]
Ir  0.0000  0.0000  0.5000 [3 per cell]



Entry from Alexandria: Li2BrCl at its PBEsol-relaxed geometry (SCAN).

**DFT total energy**: -78.837 eV per cell
**ΔE_f (raw)**: -1.800 eV per atom

Cell: 3.618 3.590 12.818 Å, 90.00 90.00 90.00°
Space group Amm2 (No. 38)
One atom of each set of equivalent atoms:
Li  0.000  0.000  0.000 [2 per cell]
Li  0.500  0.000  0.328 [2 per cell]
Br  0.500  0.000  0.534 [2 per cell]
Cl  0.000  0.000  0.814 [2 per cell]



Entry from Alexandria: Cu2RhAu at its PBEsol-relaxed geometry (SCAN).

**DFT total energy**: -266.484 eV per cell
**Energy relative to the elements**: 0.09 eV/f.u.

Cell: 3.915 3.915 6.952 Å, 90.00 90.00 90.00°
Space group I4/mmm (No. 139)
One atom of each set of equivalent atoms:
Cu  0.000  0.500  0.250 [4 per cell]
Rh  0.000  0.000  0.000 [2 per cell]
Au  0.000  0.000  0.500 [2 per cell]



Entry from Alexandria: KSi3Rh at its PBEsol-relaxed geometry (SCAN).

**DFT total energy**: -70.183 eV per cell
**ΔE_f (raw)**: 0.393 eV per atom

Cell: 4.703 4.703 4.703 Å, 90.00 90.00 90.00°
Space group Pm-3m (No. 221)
One atom of each set of equivalent atoms:
K  0.000  0.000  0.000 [1 per cell]
Si  0.000  0.500  0.500 [3 per cell]
Rh  0.500  0.500  0.500 [1 per cell]



Entry from Alexandria: FeSi2Cl at its PBEsol-relaxed geometry (SCAN).

**DFT total energy**: -176.031 eV per cell
**ΔE_f (raw)**: 0.533 eV per atom

Cell: 5.555 5.555 10.279 Å, 90.00 90.00 90.00°
Space group I-42d (No. 122)
One atom of each set of equivalent atoms:
Fe  0.000  0.000  0.000 [4 per cell]
Si  0.174  0.250  0.125 [8 per cell]
Cl  0.000  0.000  0.500 [4 per cell]



Entry from Alexandria: LiSe at its PBEsol-relaxed geometry (SCAN).

**DFT total energy**: -23.949 eV per cell
**ΔE_f (raw)**: -0.740 eV per atom

Cell: 3.2036 3.2036 3.8768 Å, 90.00 90.00 120.00°
Space group P-6m2 (No. 187)
One atom of each set of equivalent atoms:
Li  0.0000  0.0000  0.0000 [1 per cell]
Se  0.3333  0.6667  0.5000 [1 per cell]



Entry from Alexandria: LiNb3Pb at its PBEsol-relaxed geometry (SCAN).

**DFT total energy**: -173.684 eV per cell
**Energy relative to the elements**: 3.88 eV/f.u.

Cell: 4.461 4.461 4.461 Å, 90.00 90.00 90.00°
Space group Pm-3m (No. 221)
One atom of each set of equivalent atoms:
Li  0.000  0.000  0.000 [1 per cell]
Nb  0.000  0.000  0.500 [3 per cell]
Pb  0.500  0.500  0.500 [1 per cell]



Entry from Alexandria: KBa2Sb2 at its PBEsol-relaxed geometry (SCAN).

**DFT total energy**: -333.071 eV per cell
**ΔE_f (raw)**: -0.917 eV per atom

Cell: 9.906 9.906 4.029 Å, 90.00 90.00 90.00°
Space group P4/mbm (No. 127)
One atom of each set of equivalent atoms:
K  0.000  0.000  0.000 [2 per cell]
Ba  0.132  0.368  0.500 [4 per cell]
Sb  0.166  0.666  0.000 [4 per cell]



Entry from Alexandria: Ca2FeH6 at its PBEsol-relaxed geometry (SCAN).

**DFT total energy**: -255.982 eV per cell

Cell: 6.902 6.902 6.902 Å, 90.00 90.00 90.00°
Space group Fm-3m (No. 225)
One atom of each set of equivalent atoms:
Ca  0.250  0.250  0.250 [8 per cell]
Fe  0.000  0.000  0.000 [4 per cell]
H  0.000  0.000  0.230 [24 per cell]



Entry from Alexandria: Sr4CaLa at its PBEsol-relaxed geometry (SCAN).

**DFT total energy**: -560.416 eV per cell
**Energy relative to the elements**: 1.77 eV/f.u.

Cell: 10.493 10.493 10.493 Å, 90.00 90.00 90.00°
Space group F-43m (No. 216)
One atom of each set of equivalent atoms:
Sr  0.125  0.125  0.125 [16 per cell]
Ca  0.000  0.000  0.500 [4 per cell]
La  0.250  0.250  0.750 [4 per cell]



Entry from Alexandria: Mg2ScPd2 at its PBEsol-relaxed geometry (SCAN).

**DFT total energy**: -186.299 eV per cell
**Energy relative to the elements**: -3.42 eV/f.u.

Cell: 6.984 6.984 3.711 Å, 90.00 90.00 90.00°
Space group P4/mbm (No. 127)
One atom of each set of equivalent atoms:
Mg  0.156  0.344  0.000 [4 per cell]
Sc  0.000  0.000  0.500 [2 per cell]
Pd  0.140  0.640  0.500 [4 per cell]



Entry from Alexandria: AlInSi at its PBEsol-relaxed geometry (SCAN).

**DFT total energy**: -197.902 eV per cell
**ΔE_f (raw)**: 0.559 eV per atom

Cell: 6.471 6.471 6.471 Å, 90.00 90.00 90.00°
Space group F-43m (No. 216)
One atom of each set of equivalent atoms:
Al  0.000  0.000  0.000 [4 per cell]
In  0.250  0.250  0.250 [4 per cell]
Si  0.000  0.000  0.500 [4 per cell]



Entry from Alexandria: ScTa2Al at its PBEsol-relaxed geometry (SCAN).

**DFT total energy**: -311.008 eV per cell
**Energy relative to the elements**: -0.35 eV/f.u.

Cell: 3.990 4.035 8.949 Å, 90.00 90.00 90.00°
Space group Immm (No. 71)
One atom of each set of equivalent atoms:
Sc  0.000  0.000  0.000 [2 per cell]
Ta  0.000  0.500  0.249 [4 per cell]
Al  0.000  0.000  0.500 [2 per cell]



Entry from Alexandria: SrLaIn3 at its PBEsol-relaxed geometry (SCAN).

**DFT total energy**: -163.764 eV per cell
**Energy relative to the elements**: 1.78 eV/f.u.

Cell: 5.666 5.666 5.666 Å, 90.00 90.00 90.00°
Space group Pm-3m (No. 221)
One atom of each set of equivalent atoms:
Sr  0.000  0.000  0.000 [1 per cell]
La  0.500  0.500  0.500 [1 per cell]
In  0.000  0.000  0.500 [3 per cell]



Entry from Alexandria: TlC2Br at its PBEsol-relaxed geometry (SCAN).

**DFT total energy**: -408.095 eV per cell
**ΔE_f (raw)**: 2.498 eV per atom

Cell: 4.954 4.954 11.457 Å, 90.00 90.00 90.00°
Space group I-42d (No. 122)
One atom of each set of equivalent atoms:
Tl  0.000  0.000  0.000 [4 per cell]
C  0.229  0.250  0.625 [8 per cell]
Br  0.000  0.000  0.500 [4 per cell]



Entry from Alexandria: LiNbSi2 at its PBEsol-relaxed geometry (SCAN).

**DFT total energy**: -220.946 eV per cell
**ΔE_f (raw)**: 0.079 eV per atom

Cell: 6.161 6.161 6.161 Å, 90.00 90.00 90.00°
Space group Fm-3m (No. 225)
One atom of each set of equivalent atoms:
Li  0.000  0.000  0.000 [4 per cell]
Nb  0.000  0.000  0.500 [4 per cell]
Si  0.250  0.250  0.250 [8 per cell]



Entry from Alexandria: Hf2Al3Co at its PBEsol-relaxed geometry (SCAN).

**DFT total energy**: -338.008 eV per cell
**Energy relative to the elements**: -3.10 eV/f.u.

Cell: 5.1822 5.1822 8.1324 Å, 90.00 90.00 120.00°
Space group P6_3/mmc (No. 194)
One atom of each set of equivalent atoms:
Hf  0.3333  0.6667  0.0613 [4 per cell]
Al  0.1658  0.3316  0.7500 [6 per cell]
Co  0.0000  0.0000  0.0000 [2 per cell]



Entry from Alexandria: FeAgHg at its PBEsol-relaxed geometry (SCAN).

**DFT total energy**: -463.167 eV per cell
**Energy relative to the elements**: 1.87 eV/f.u.

Cell: 6.174 6.174 6.174 Å, 90.00 90.00 90.00°
Space group F-43m (No. 216)
One atom of each set of equivalent atoms:
Fe  0.000  0.000  0.000 [4 per cell]
Ag  0.000  0.000  0.500 [4 per cell]
Hg  0.250  0.250  0.750 [4 per cell]



Entry from Alexandria: SrScMo at its PBEsol-relaxed geometry (SCAN).

**DFT total energy**: -68.715 eV per cell
**Energy relative to the elements**: 2.68 eV/f.u.

Cell: 5.1987 5.1987 2.7924 Å, 90.00 90.00 120.00°
Space group P-6m2 (No. 187)
One atom of each set of equivalent atoms:
Sr  0.0000  0.0000  0.0000 [1 per cell]
Sc  0.6667  0.3333  0.0000 [1 per cell]
Mo  0.3333  0.6667  0.5000 [1 per cell]